Density functional theory data (PBE-GGA) for a relaxed ScPdIN2 crystal.

Values from the calculation:
Magnetic moment   1.55 μB per formula unit
Uncorrected formation energy   727.1 meV per atom
Theoretical density   4.9 g cm⁻³
Fermi-level density of states   4.1 states/eV/f.u.
Excess energy over the best structure of this formula in the dataset   0.00 eV per formula unit

a b c (Å): 4.0843 4.0843 6.2399
angles (deg): 90.00 90.00 90.00
Closest atoms and distances in Å follow each position.
Element x y z (fractional)
Sc 0.0000 0.0000 0.0000  4 N 2.04
Pd 0.5000 0.5000 0.5000  4 I 2.89
I 0.0000 0.0000 0.5000  4 Pd 2.89, 2 Sc 3.12
N 0.0000 0.5000 0.0000  2 Sc 2.04
N 0.5000 0.0000 0.0000  2 Sc 2.04